First-principles (PBE) data for a geometry-optimized K2AgHg6Pd structure, as listed in Alexandria.

Output
The value obtained for the calculated formation energy is -160 kJ/mol of formula units. For the energy, the calculation gives -1.3711 eV/atom.

Cell lengths 7.8791, 10.4702, 7.5214 Å; angles 90.00, 90.00, 90.00 degrees
Last column: nearest neighbours and their distance in Å.
Space group Pmmn (No. 59, origin choice 2)
Symmetry-distinct sites (fractional):
K: 0.2500 0.0221 0.2367 x4  12 Hg 3.70-4.04, 1 Pd 3.76, 1 Ag 3.95
Ag: 0.2500 0.7500 0.8730 x2  6 Hg 2.76-2.88
Hg: 0.0253 0.2500 0.9000 x4  1 Pd 2.74, 1 Ag 2.76
Hg: 0.0489 0.7500 0.5539 x4  1 Pd 2.70, 1 Ag 2.88
Hg: 0.2500 0.0008 0.7327 x4  1 Pd 2.74, 1 Ag 2.83
Pd: 0.2500 0.2500 0.6223 x2  6 Hg 2.70-2.74

---

First-principles (PBE) data for a geometry-optimized KAgHg2Pd structure, as listed in Alexandria.

Output
The value obtained for the calculated formation energy is -52 kJ/mol of formula units. For the energy, the calculation gives -2.0575 eV/atom.

Cell lengths 5.3149, 5.3149, 5.3229 Å; angles 90.00, 90.00, 90.00 degrees
Last column: nearest neighbours and their distance in Å.
Space group P4/mmm (No. 123)
Symmetry-distinct sites (fractional):
K: 0.0000 0.0000 0.0000 x1  4 Ag 3.76, 8 Hg 3.76
Ag: 0.5000 0.5000 0.0000 x1  2 Pd 2.66
Hg: 0.0000 0.5000 0.5000 x2  2 Pd 2.66
Pd: 0.5000 0.5000 0.5000 x1  4 Hg 2.66, 2 Ag 2.66

---

First-principles (PBE) data for a geometry-optimized KPrAgHg structure, as listed in Alexandria.

Output
The value obtained for the calculated formation energy is -27 kJ/mol of formula units. For the energy, the calculation gives -2.3263 eV/atom.

Cell lengths 7.7491, 7.7491, 7.7491 Å; angles 90.00, 90.00, 90.00 degrees
Last column: nearest neighbours and their distance in Å.
Space group F-43m (No. 216)
Symmetry-distinct sites (fractional):
K: 0.0000 0.0000 0.0000 x4  4 Hg 3.36, 4 Ag 3.36
Pr: 0.0000 0.0000 0.5000 x4  4 Hg 3.36, 4 Ag 3.36
Ag: 0.2500 0.2500 0.7500 x4  4 K 3.36, 4 Pr 3.36
Hg: 0.2500 0.2500 0.2500 x4  4 Pr 3.36, 4 K 3.36

---

First-principles (PBE) data for a geometry-optimized KAgHg2Pt structure, as listed in Alexandria.

Output
The value obtained for the calculated formation energy is -56 kJ/mol of formula units. For the energy, the calculation gives -2.2353 eV/atom.

Cell lengths 5.3162, 5.3162, 5.3188 Å; angles 90.00, 90.00, 90.00 degrees
Last column: nearest neighbours and their distance in Å.
Space group P4/mmm (No. 123)
Symmetry-distinct sites (fractional):
K: 0.0000 0.0000 0.0000 x1  4 Ag 3.76, 8 Hg 3.76
Ag: 0.5000 0.5000 0.0000 x1  2 Pt 2.66
Hg: 0.0000 0.5000 0.5000 x2  2 Pt 2.66
Pt: 0.5000 0.5000 0.5000 x1  4 Hg 2.66, 2 Ag 2.66

---

First-principles (PBE) data for a geometry-optimized KRb2AgHg structure, as listed in Alexandria.

Output
The value obtained for the calculated formation energy is -42 kJ/mol of formula units. For the energy, the calculation gives -1.3249 eV/atom. The excess energy over the best structure of this formula in the dataset is 0 meV per atom.

Cell lengths 7.7973, 5.2479, 11.3539 Å; angles 90.00, 90.12, 90.00 degrees
Last column: nearest neighbours and their distance in Å.
Space group P2_1/m (No. 11)
Symmetry-distinct sites (fractional):
K: 0.2362 0.2500 0.2498 x2  2 Ag 3.55, 2 Hg 3.63
Rb: 0.2484 0.7500 0.9517 x2  2 Ag 3.75, 3 Hg 3.80-4.16
Rb: 0.2485 0.7500 0.5474 x2  3 Ag 3.75-4.18, 3 Hg 3.80-4.15
Ag: 0.0700 0.2500 0.7491 x2  1 Hg 2.90
Hg: 0.4424 0.2500 0.7497 x2  1 Ag 2.90

---

First-principles (PBE) data for a geometry-optimized K4Rb2AgHg2 structure, as listed in Alexandria.

Output
The value obtained for the calculated formation energy is -79 kJ/mol of formula units. For the energy, the calculation gives -1.1773 eV/atom.

Cell lengths 6.0964, 8.6397, 10.3125 Å; angles 69.77, 72.93, 69.43 degrees
Last column: nearest neighbours and their distance in Å.
Space group P-1 (No. 2)
Symmetry-distinct sites (fractional):
K: 0.1014 0.1712 0.1265 x2  1 Ag 3.57, 1 Hg 3.65
K: 0.3606 0.1692 0.6124 x2  2 Ag 3.63-3.64, 3 Hg 3.66-3.74, 1 K 3.96
Rb: 0.3608 0.5610 0.2200 x2  3 Hg 3.71-3.76
Ag: 0.0000 0.0000 0.5000 x1  2 Hg 2.87
Hg: 0.1400 0.6309 0.5820 x2  1 Ag 2.87